Below is a geometry-optimized Be2InRu structure, with properties calculated at the GGA-PBE level.

energy of formation = 471 meV/atom
crystal system = trigonal
total moment = 0.00 μB per formula unit
space group = No. 160
ΔE to the lowest computed polymorph = 0.542 eV per atom
V = 14.05 Å³/atom

Lattice parameters (Å, degrees): 7.900 7.900 7.900 21.15 21.15 21.15
Atoms (fractional coordinates):
Ru: 0.737 0.737 0.737
Be: 0.999 0.999 0.999
Be: 0.262 0.262 0.262
In: 0.503 0.503 0.503


Below is a geometry-optimized Be2InRu structure, with properties calculated at the GGA-PBE level.

energy of formation = 314 meV/atom
crystal system = cubic
total moment = 0.00 μB per formula unit
space group = No. 216
ΔE to the lowest computed polymorph = 0.385 eV per atom
V = 13.57 Å³/atom

Lattice parameters (Å, degrees): 4.249 4.249 4.249 60.00 60.00 60.00
Atoms (fractional coordinates):
Ru: 0.750 0.750 0.750
Be: 0.000 0.000 0.000
Be: 0.250 0.250 0.250
In: 0.500 0.500 0.500


Below is a geometry-optimized BeInRu2 structure, with properties calculated at the GGA-PBE level.

energy of formation = 21 meV/atom
crystal system = tetragonal
total moment = 0.21 μB per formula unit
space group = No. 123
ΔE to the lowest computed polymorph = 0.000 eV per atom
V = 14.04 Å³/atom

Lattice parameters (Å, degrees): 2.959 2.959 6.414 90.00 90.00 90.00
Site moments in Bohr magnetons follow the coordinates.
Atoms (fractional coordinates):
Ru: 0.000 0.000 0.051  0.10
Ru: 0.000 0.000 0.449  0.10
Be: 0.500 0.500 0.250  0.00
In: 0.500 0.500 0.750  0.00


Below is a geometry-optimized BeIn2Ru2 structure, with properties calculated at the GGA-PBE level.

energy of formation = 0 meV/atom
crystal system = tetragonal
total moment = 0.00 μB per formula unit
space group = No. 127
V = 16.43 Å³/atom

Lattice parameters (Å, degrees): 6.182 6.182 4.301 90.00 90.00 90.00
Atoms (fractional coordinates):
Ru: 0.353 0.853 0.000
Ru: 0.853 0.647 0.000
Ru: 0.647 0.147 0.000
Ru: 0.147 0.353 0.000
Be: 0.000 0.000 0.000
Be: 0.500 0.500 0.000
In: 0.168 0.668 0.500
In: 0.668 0.832 0.500
In: 0.832 0.332 0.500
In: 0.332 0.168 0.500


Below is a geometry-optimized Be2InRu structure, with properties calculated at the GGA-PBE level.

energy of formation = 6 meV/atom
crystal system = monoclinic
total moment = 0.00 μB per formula unit
space group = No. 12
ΔE to the lowest computed polymorph = 0.078 eV per atom
V = 14.03 Å³/atom

Lattice parameters (Å, degrees): 4.379 4.379 4.529 75.59 75.59 42.07
Atoms (fractional coordinates):
Ru: 0.250 0.250 0.250
Be: 0.968 0.968 0.126
Be: 0.532 0.532 0.374
In: 0.750 0.750 0.750


Below is a geometry-optimized BeInRu2 structure, with properties calculated at the GGA-PBE level.

energy of formation = 505 meV/atom
crystal system = tetragonal
total moment = 0.00 μB per formula unit
space group = No. 122
ΔE to the lowest computed polymorph = 0.483 eV per atom
V = 16.91 Å³/atom

Lattice parameters (Å, degrees): 3.964 3.964 9.055 77.36 77.36 90.00
Atoms (fractional coordinates):
Ru: 0.534 0.125 0.250
Ru: 0.216 0.625 0.250
Ru: 0.375 0.466 0.750
Ru: 0.875 0.784 0.750
Be: 0.500 0.500 0.000
Be: 0.250 0.750 0.500
In: 0.000 0.000 0.000
In: 0.750 0.250 0.500


Below is a geometry-optimized Be2InRu structure, with properties calculated at the GGA-PBE level.

energy of formation = 349 meV/atom
crystal system = trigonal
total moment = 0.00 μB per formula unit
space group = No. 166
ΔE to the lowest computed polymorph = 0.421 eV per atom
V = 14.18 Å³/atom

Lattice parameters (Å, degrees): 7.904 7.904 7.904 21.23 21.23 21.23
Atoms (fractional coordinates):
Ru: 0.750 0.750 0.750
Be: 0.012 0.012 0.012
Be: 0.488 0.488 0.488
In: 0.250 0.250 0.250


Below is a geometry-optimized BeInRu2 structure, with properties calculated at the GGA-PBE level.

energy of formation = 365 meV/atom
crystal system = monoclinic
total moment = 0.02 μB per formula unit
space group = No. 12
ΔE to the lowest computed polymorph = 0.344 eV per atom
V = 14.82 Å³/atom

Lattice parameters (Å, degrees): 5.060 5.060 2.818 76.94 76.94 115.08
Atoms (fractional coordinates):
Ru: 0.000 0.000 0.000
Ru: 0.500 0.500 0.000
Be: 0.500 0.000 0.500
In: 0.000 0.500 0.500


Below is a geometry-optimized Be2InRu structure, with properties calculated at the GGA-PBE level.

energy of formation = -72 meV/atom
crystal system = tetragonal
total moment = 0.00 μB per formula unit
space group = No. 123
ΔE to the lowest computed polymorph = 0.000 eV per atom
V = 13.19 Å³/atom

Lattice parameters (Å, degrees): 3.052 3.052 5.664 90.00 90.00 90.02
Atoms (fractional coordinates):
Ru: 0.500 0.500 0.750
Be: 0.000 0.000 0.933
Be: 0.000 0.000 0.567
In: 0.500 0.500 0.250


Below is a geometry-optimized BeInRu3 structure, with properties calculated at the GGA-PBE level.

energy of formation = 386 meV/atom
crystal system = cubic
total moment = 0.73 μB per formula unit
space group = No. 221
ΔE to the lowest computed polymorph = 0.000 eV per atom
V = 14.71 Å³/atom

Lattice parameters (Å, degrees): 4.190 4.190 4.190 90.00 90.00 90.00
Site moments in Bohr magnetons follow the coordinates.
Atoms (fractional coordinates):
Ru: 0.000 0.500 0.000  0.29
Ru: 0.000 0.000 0.500  0.21
Ru: 0.500 0.000 0.000  0.23
Be: 0.000 0.000 0.000  -0.01
In: 0.500 0.500 0.500  -0.02


Below is a geometry-optimized BeInRu2 structure, with properties calculated at the GGA-PBE level.

energy of formation = 35 meV/atom
crystal system = tetragonal
total moment = 0.00 μB per formula unit
space group = No. 99
ΔE to the lowest computed polymorph = 0.014 eV per atom
V = 14.37 Å³/atom

Lattice parameters (Å, degrees): 3.000 3.000 6.387 90.00 90.00 90.00
Atoms (fractional coordinates):
Ru: 0.000 0.000 0.029
Ru: 0.500 0.500 0.295
Be: 0.000 0.000 0.436
In: 0.500 0.500 0.740


Below is a geometry-optimized BeInRu2 structure, with properties calculated at the GGA-PBE level.

energy of formation = 235 meV/atom
crystal system = tetragonal
total moment = 0.00 μB per formula unit
space group = No. 123
ΔE to the lowest computed polymorph = 0.214 eV per atom
V = 14.44 Å³/atom

Lattice parameters (Å, degrees): 4.278 4.278 3.155 90.00 90.00 90.07
Atoms (fractional coordinates):
Ru: 0.000 0.000 0.000
Ru: 0.500 0.500 0.000
Be: 0.500 0.000 0.500
In: 0.000 0.500 0.500


Below is a geometry-optimized BeIn4Ru structure, with properties calculated at the GGA-PBE level.

energy of formation = 927 meV/atom
crystal system = cubic
total moment = 0.59 μB per formula unit
space group = No. 216
V = 21.89 Å³/atom

Lattice parameters (Å, degrees): 5.706 5.706 5.706 60.00 60.00 60.00
Site moments in Bohr magnetons follow the coordinates.
Atoms (fractional coordinates):
Be: 0.000 0.000 0.000  -0.01
In: 0.874 0.375 0.375  0.00
In: 0.375 0.375 0.874  0.00
In: 0.375 0.874 0.375  0.00
In: 0.375 0.375 0.375  0.00
Ru: 0.750 0.750 0.750  0.63


Below is a geometry-optimized Be2InRu structure, with properties calculated at the GGA-PBE level.

energy of formation = 120 meV/atom
crystal system = orthorhombic
total moment = 0.00 μB per formula unit
space group = No. 71
ΔE to the lowest computed polymorph = 0.192 eV per atom
V = 13.38 Å³/atom

Lattice parameters (Å, degrees): 4.761 4.761 4.761 140.57 127.53 67.56
Atoms (fractional coordinates):
Ru: 0.750 0.250 0.500
Be: 0.981 0.981 0.000
Be: 0.519 0.519 0.000
In: 0.250 0.750 0.500


Below is a geometry-optimized BeInRu structure, with properties calculated at the GGA-PBE level.

energy of formation = 347 meV/atom
crystal system = trigonal
total moment = 0.00 μB per formula unit
space group = No. 156
ΔE to the lowest computed polymorph = 0.416 eV per atom
V = 15.53 Å³/atom

Lattice parameters (Å, degrees): 2.955 2.955 6.161 90.00 90.00 120.00
Atoms (fractional coordinates):
Ru: 0.333 0.667 0.705
Be: 0.000 0.000 0.959
In: 0.667 0.333 0.336